# SCAN KSrSb, single point on PBEsol structure
data_KSrSb
_cell_length_a 8.8280
_cell_length_b 5.4099
_cell_length_c 9.7212
_cell_angle_alpha 90.00
_cell_angle_beta 90.00
_cell_angle_gamma 90.00
_symmetry_space_group_name_H-M 'P n m a'
_symmetry_Int_Tables_number 62
loop_
_symmetry_equiv_pos_as_xyz
'x,y,z'
'-x,-y,-z'
'-x+1/2,-y,z+1/2'
'x+1/2,y,-z+1/2'
'x+1/2,-y+1/2,-z+1/2'
'-x+1/2,y+1/2,z+1/2'
'-x,y+1/2,-z'
'x,-y+1/2,z'
loop_
_atom_site_label
_atom_site_type_symbol
_atom_site_fract_x
_atom_site_fract_y
_atom_site_fract_z
_atom_site_occupancy
K1 K 0.0149 0.2500 0.1770 1
Sr1 Sr 0.1539 0.2500 0.5804 1
Sb1 Sb 0.2199 0.7500 0.3976 1
# Uncorrected formation energy, eV/f.u.: -2.7

***

# SCAN KSrSb2, single point on PBEsol structure
data_KSrSb2
_cell_length_a 9.0955
_cell_length_b 9.0955
_cell_length_c 6.4405
_cell_angle_alpha 90.00
_cell_angle_beta 90.00
_cell_angle_gamma 90.00
_symmetry_space_group_name_H-M 'I -4 2 d'
_symmetry_Int_Tables_number 122
_symmetry_space_group_name_Hall 'I -4 2bw'
loop_
_atom_site_label
_atom_site_type_symbol
_atom_site_fract_x
_atom_site_fract_y
_atom_site_fract_z
_atom_site_occupancy
K1 K 0.0000 0.0000 0.0000 1
Sr1 Sr 0.0000 0.0000 0.5000 1
Sb1 Sb 0.2457 0.7500 0.6250 1
# Uncorrected formation energy, eV/f.u.: -1.5
# Energy above the lowest structure with this stoichiometry, eV/atom: 0.347

***

# SCAN KSr2Sb2, single point on PBEsol structure
data_KSr2Sb2
_cell_length_a 9.5647
_cell_length_b 9.5647
_cell_length_c 3.8509
_cell_angle_alpha 90.00
_cell_angle_beta 90.00
_cell_angle_gamma 90.00
_symmetry_space_group_name_H-M 'P 4/m b m'
_symmetry_Int_Tables_number 127
_symmetry_space_group_name_Hall '-P 4 2ab'
loop_
_atom_site_label
_atom_site_type_symbol
_atom_site_fract_x
_atom_site_fract_y
_atom_site_fract_z
_atom_site_occupancy
K1 K 0.0000 0.0000 0.0000 1
Sr1 Sr 0.1345 0.3655 0.5000 1
Sb1 Sb 0.1630 0.6630 0.0000 1
# Uncorrected formation energy, eV/f.u.: -4.5

***

# SCAN KSrSb2, single point on PBEsol structure
data_KSrSb2
_cell_length_a 3.8768
_cell_length_b 3.8768
_cell_length_c 31.1611
_cell_angle_alpha 90.00
_cell_angle_beta 90.00
_cell_angle_gamma 120.00
_symmetry_space_group_name_H-M 'R -3 m'
_symmetry_Int_Tables_number 166
_symmetry_space_group_name_Hall '-R 3 2"'
loop_
_atom_site_label
_atom_site_type_symbol
_atom_site_fract_x
_atom_site_fract_y
_atom_site_fract_z
_atom_site_occupancy
K1 K 0.0000 0.0000 0.0000 1
Sr1 Sr 0.0000 0.0000 0.5000 1
Sb1 Sb 0.0000 0.0000 0.2463 1
# Uncorrected formation energy, eV/f.u.: -1.8
# Energy above the lowest structure with this stoichiometry, eV/atom: 0.292

***

# SCAN KSrSb2, single point on PBEsol structure
data_KSrSb2
_cell_length_a 4.3064
_cell_length_b 4.4083
_cell_length_c 7.3356
_cell_angle_alpha 90.00
_cell_angle_beta 90.00
_cell_angle_gamma 90.00
_symmetry_space_group_name_H-M 'P m m m'
_symmetry_Int_Tables_number 47
loop_
_symmetry_equiv_pos_as_xyz
'x,y,z'
'-x,-y,-z'
'-x,-y,z'
'x,y,-z'
'x,-y,-z'
'-x,y,z'
'-x,y,-z'
'x,-y,z'
loop_
_atom_site_label
_atom_site_type_symbol
_atom_site_fract_x
_atom_site_fract_y
_atom_site_fract_z
_atom_site_occupancy
K1 K 0.0000 0.0000 0.0000 1
Sr1 Sr 0.0000 0.0000 0.5000 1
Sb1 Sb 0.5000 0.5000 0.3070 1
# Uncorrected formation energy, eV/f.u.: -2.9
# Energy above the lowest structure with this stoichiometry, eV/atom: 0.000

***

# SCAN KTaSb3, single point on PBEsol structure
data_KTaSb3
_cell_length_a 5.3854
_cell_length_b 5.3854
_cell_length_c 5.3854
_cell_angle_alpha 90.00
_cell_angle_beta 90.00
_cell_angle_gamma 90.00
_symmetry_space_group_name_H-M 'P m -3 m'
_symmetry_Int_Tables_number 221
_symmetry_space_group_name_Hall '-P 4 2 3'
loop_
_atom_site_label
_atom_site_type_symbol
_atom_site_fract_x
_atom_site_fract_y
_atom_site_fract_z
_atom_site_occupancy
K1 K 0.0000 0.0000 0.0000 1
Ta1 Ta 0.5000 0.5000 0.5000 1
Sb1 Sb 0.0000 0.0000 0.5000 1
# Uncorrected formation energy, eV/f.u.: 10.8

***

Calculated total DFT energy (no corrections), -282.34; -426.65; -263.87; -320.66; -108.05; -175.87 eV/cell (same order as the records).
Calculated total moment, 0.0; 0.0; 0.0; 0.0; 0.0; 2.5 μB per cell (same order as the records).